1.
First-principles (PBE-GGA) data for Ti3VCr after structural relaxation, as listed in Alexandria via LeMat-Bulk.

For the formation energy, the calculation gives 82.8 kJ per mole of atoms. The value obtained for the density of states at the Fermi level is 1.6627 states/eV per atom. Its excess energy over the best structure of this formula in the dataset is 135 meV per atom.

The structure belongs to space group Pm-3m (No. 221); the cell edges are 4.542, 4.542 and 4.542 Å and the angles 90.00°, 90.00° and 90.00°. The distinct sites, in fractional coordinates, are Ti at (0.000, 0.000, 0.500), V at (0.000, 0.000, 0.000) and Cr at (0.500, 0.500, 0.500).


2.
First-principles (PBE-GGA) data for Ta2CoRu after structural relaxation, as listed in Alexandria via LeMat-Bulk.

For the formation energy, the calculation gives -9.7 kJ per mole of atoms. The value obtained for the density of states at the Fermi level is 0.9965 states/eV per atom.

The structure belongs to space group Cm (No. 8); the cell edges are 9.292, 2.961 and 4.576 Å and the angles 90.00°, 102.08° and 90.00°. The distinct sites, in fractional coordinates, are Ta at (0.000, 0.000, 0.000), Ta at (0.225, 0.000, 0.668), Co at (0.233, 0.500, 0.173) and Ru at (0.467, 0.000, 0.463).


3.
First-principles (PBE-GGA) data for CsI2Cl7 after structural relaxation, as listed in Alexandria via LeMat-Bulk.

The value obtained for the density of states at the Fermi level is 0.1607 states/eV per atom. Its uncorrected formation energy is -0.49 eV per atom.

The structure belongs to space group Cmmm (No. 65); the cell edges are 8.180, 17.215 and 5.610 Å and the angles 90.00°, 90.00° and 90.00°. The distinct sites, in fractional coordinates, are Cs at (0.000, 0.000, 0.000), I at (0.000, 0.349, 0.500), Cl at (0.000, 0.351, 0.000), Cl at (0.000, 0.500, 0.500) and Cl at (0.195, 0.142, 0.500).


4.
First-principles (PBE-GGA) data for TaCo4Rh after structural relaxation, as listed in Alexandria via LeMat-Bulk.

For the formation energy, the calculation gives -17.4 kJ per mole of atoms. The value obtained for the density of states at the Fermi level is 1.4589 states/eV per atom.

The structure belongs to space group F-43m (No. 216); the cell edges are 6.683, 6.683 and 6.683 Å and the angles 90.00°, 90.00° and 90.00°. The distinct sites, in fractional coordinates, are Ta at (0.000, 0.000, 0.000), Co at (0.124, 0.124, 0.376) and Rh at (0.250, 0.250, 0.750).


5.
First-principles (PBE-GGA) data for Cd3RePt after structural relaxation, as listed in Alexandria via LeMat-Bulk.

For the formation energy, the calculation gives 145.9 kJ per mole of atoms. The value obtained for the density of states at the Fermi level is 0.7167 states/eV per atom. Its excess energy over the best structure of this formula in the dataset is 319 meV per atom.

The structure belongs to space group Pm-3m (No. 221); the cell edges are 5.192, 5.192 and 5.192 Å and the angles 90.00°, 90.00° and 90.00°. The distinct sites, in fractional coordinates, are Cd at (0.000, 0.000, 0.500), Re at (0.000, 0.000, 0.000) and Pt at (0.500, 0.500, 0.500).


6.
First-principles (PBE-GGA) data for HfBeCr after structural relaxation, as listed in Alexandria via LeMat-Bulk.

For the formation energy, the calculation gives -6.0 kJ per mole of atoms. The value obtained for the density of states at the Fermi level is 0.6981 states/eV per atom.

The structure belongs to space group Imma (No. 74); the cell edges are 4.683, 5.010 and 7.068 Å and the angles 90.00°, 90.00° and 90.00°. The distinct sites, in fractional coordinates, are Hf at (0.000, 0.250, 0.117), Be at (0.000, 0.000, 0.500) and Cr at (0.250, 0.250, 0.750).